Entry 1:
Entry from the Alexandria database: an optimized crystal structure of AcGe2 (PBE-GGA).

```
data_AcGe2
_chemical_formula_sum 'Ac2 Ge4'
_cell_length_a 4.3664
_cell_length_b 8.2103
_cell_length_c 4.4526
_cell_angle_alpha 90.00
_cell_angle_beta 90.00
_cell_angle_gamma 90.00
_space_group_name_H-M_alt 'C m m m'
_space_group_IT_number 65
_space_group_name_Hall '-C 2 2'
loop_
_atom_site_label
_atom_site_fract_x
_atom_site_fract_y
_atom_site_fract_z
Ac1 0.0000 0.0000 0.0000
Ge1 0.0000 0.3365 0.5000
```

Output
Formation enthalpy at 0 K: -0.61 eV per atom
E: -5.059 eV per atom
Spin magnetization: 0.00 μB per atom
Energy above the lowest structure with this stoichiometry: 0 meV/atom

=====

Entry 2:
Entry from the Alexandria database: an optimized crystal structure of AcInGaGe (PBE-GGA).

```
data_AcInGaGe
_chemical_formula_sum 'Ac4 In4 Ga4 Ge4'
_cell_length_a 7.4712
_cell_length_b 7.4712
_cell_length_c 7.4712
_cell_angle_alpha 90.00
_cell_angle_beta 90.00
_cell_angle_gamma 90.00
_space_group_name_H-M_alt 'F -4 3 m'
_space_group_IT_number 216
_space_group_name_Hall 'F -4 2 3'
loop_
_atom_site_label
_atom_site_fract_x
_atom_site_fract_y
_atom_site_fract_z
Ac1 0.0000 0.0000 0.0000
In1 0.0000 0.0000 0.5000
Ga1 0.2500 0.2500 0.2500
Ge1 0.2500 0.2500 0.7500
```

Output
Formation enthalpy at 0 K: -0.25 eV per atom
E: -3.876 eV per atom
Spin magnetization: 0.00 μB per atom

=====

Number 1: Fermi-level density of states 0.59 states/eV per atom, density 7.75 g/cm3. Number 2: Fermi-level density of states 0.99 states/eV per atom, density 7.71 g/cm3.